First-principles (PBE-GGA) data for crystalline NdEr2Pb9 at its relaxed geometry, as listed in Alexandria via LeMat-Bulk.

Output
The calculation puts the density at 11.093 g/cm³. The total DFT energy (no corrections) comes out at -4.22 eV/atom.

Cell: 4.8959 4.8959 14.6353 Å, 90.00 90.00 90.00°
Closest atoms and distances in Å follow each position.
Sites, in units of the cell vectors:
Er1 0.0000 0.0000 0.6660  12 Pb 3.42-3.46
Er2 0.0000 0.0000 0.3340  12 Pb 3.42-3.46
Pb1 0.5000 0.5000 0.0000  4 Nd 3.46, 8 Pb 3.50
Pb2 0.0000 0.5000 0.5000  8 Pb 3.43-3.46, 4 Er 3.45
Pb3 0.5000 0.0000 0.8292  2 Er 3.42, 8 Pb 3.44-3.50, 2 Nd 3.50
Pb4 0.0000 0.5000 0.8292  2 Er 3.42, 8 Pb 3.44-3.50, 2 Nd 3.50
Pb5 0.5000 0.0000 0.5000  8 Pb 3.43-3.46, 4 Er 3.45
Pb6 0.5000 0.0000 0.1708  2 Er 3.42, 8 Pb 3.44-3.50, 2 Nd 3.50
Pb7 0.5000 0.5000 0.3355  8 Pb 3.43-3.44, 4 Er 3.46
Pb8 0.5000 0.5000 0.6645  8 Pb 3.43-3.44, 4 Er 3.46
Pb9 0.0000 0.5000 0.1708  2 Er 3.42, 8 Pb 3.44-3.50, 2 Nd 3.50
Nd1 0.0000 0.0000 0.0000  12 Pb 3.46-3.50